The following is a DFT calculation (PBE with a Hubbard U) of crystalline VCdPbF6 at its relaxed geometry.

Cell lengths 5.817, 5.817, 10.216 Å; angles 90.00, 90.00, 120.00 degrees
Element x y z (fractional)
V  0.333  0.667  0.250
V  0.667  0.333  0.750
Cd  0.333  0.667  0.750
Cd  0.667  0.333  0.250
Pb  0.000  0.000  0.000
Pb  0.000  0.000  0.500
F  0.019  0.362  0.139
F  0.019  0.656  0.361
F  0.344  0.362  0.361
F  0.344  0.981  0.139
F  0.362  0.019  0.639
F  0.362  0.344  0.861
F  0.638  0.656  0.139
F  0.638  0.981  0.361
F  0.656  0.019  0.861
F  0.656  0.638  0.639
F  0.981  0.344  0.639
F  0.981  0.638  0.861

Output
final energy = -4.997 eV/atom